Material: Ba2Mn2BeO6
Method: DFT, PBE+U
State: relaxed

Summary:
Calculated density (Mg/m³): 5.50
Symmetry: R-3m (166)
Calculated total energy (Ry/atom): -0.45910

Lattice parameters (Å, degrees): 6.1805 6.1805 6.1805 55.07 55.07 55.07
Last column: nearest neighbours and their distance in Å.
Sites, in units of the cell vectors:
Ba (0.2288, 0.2288, 0.2288)  9 O 2.88-2.90, 1 Mn 3.21
Ba (0.7712, 0.7712, 0.7712)  9 O 2.88-2.90, 1 Mn 3.21
Mn (0.4333, 0.4333, 0.4333)  3 O 1.78
Mn (0.5667, 0.5667, 0.5667)  3 O 1.78
Be (0.0000, 0.0000, 0.0000)  6 O 1.95
O (0.2326, 0.2326, 0.7580)  1 Mn 1.78, 1 Be 1.95
O (0.2326, 0.7580, 0.2326)  1 Mn 1.78, 1 Be 1.95
O (0.2420, 0.7674, 0.7674)  1 Mn 1.78, 1 Be 1.95
O (0.7580, 0.2326, 0.2326)  1 Mn 1.78, 1 Be 1.95
O (0.7674, 0.2420, 0.7674)  1 Mn 1.78, 1 Be 1.95
O (0.7674, 0.7674, 0.2420)  1 Mn 1.78, 1 Be 1.95


Material: Ba2MnBe2O6
Method: DFT, PBE+U
State: relaxed

Summary:
Calculated density (Mg/m³): 5.30
Symmetry: R-3m (166)
Calculated total energy (Ry/atom): -0.49416

Lattice parameters (Å, degrees): 6.2788 6.2788 6.2788 51.27 51.27 51.27
Last column: nearest neighbours and their distance in Å.
Sites, in units of the cell vectors:
Ba (0.2225, 0.2225, 0.2225)  9 O 2.79-2.92, 1 Be 2.96
Ba (0.7775, 0.7775, 0.7775)  9 O 2.79-2.92, 1 Be 2.96
Mn (0.0000, 0.0000, 0.0000)  6 O 1.97
Be (0.4042, 0.4042, 0.4042)  3 O 1.56
Be (0.5958, 0.5958, 0.5958)  3 O 1.56
O (0.2398, 0.2398, 0.7358)  1 Be 1.56
O (0.2398, 0.7358, 0.2398)  1 Be 1.56
O (0.2642, 0.7602, 0.7602)  1 Be 1.56
O (0.7358, 0.2398, 0.2398)  1 Be 1.56
O (0.7602, 0.2642, 0.7602)  1 Be 1.56
O (0.7602, 0.7602, 0.2642)  1 Be 1.56